First-principles (GGA-PBE) data for Zr3TaGa after structural relaxation, as listed in Alexandria via LeMat-Bulk.

Properties
Magnetic moment: 1.3 μB per cell
Calculated formation energy: 0.81 eV per atom
Excess energy over the best structure of this formula in the dataset: 0 meV per atom

Cell lengths 4.956, 4.956, 4.956 Å; angles 90.00, 90.00, 90.00 degrees
Space group Pm-3m (No. 221)
Asymmetric unit:
Zr  0.000  0.000  0.500 x3
Ta  0.500  0.500  0.500 x1
Ga  0.000  0.000  0.000 x1


First-principles (GGA-PBE) data for ScZnTeN2 after structural relaxation, as listed in Alexandria via LeMat-Bulk.

Properties
Magnetic moment: 2.4 μB per cell
Excess energy over the best structure of this formula in the dataset: 319 meV per atom

Cell lengths 4.038, 4.038, 5.480 Å; angles 90.00, 90.00, 90.00 degrees
Space group P4/mmm (No. 123)
Asymmetric unit:
Sc  0.000  0.000  0.000 x1
Zn  0.500  0.500  0.500 x1
Te  0.500  0.500  0.000 x1
N  0.000  0.500  0.500 x2


First-principles (GGA-PBE) data for Pr4HoTm3 after structural relaxation, as listed in Alexandria via LeMat-Bulk.

Properties
Magnetic moment: 0.0 μB per cell
Calculated formation energy: 0.03 eV per atom

Cell lengths 5.110, 10.220, 10.174 Å; angles 90.00, 90.00, 90.00 degrees
Space group Pmmn (No. 59, origin choice 2)
Asymmetric unit:
Pr  0.250  0.000  0.131 x4
Pr  0.250  0.250  0.869 x2
Pr  0.250  0.750  0.869 x2
Ho  0.250  0.250  0.382 x2
Tm  0.250  0.000  0.618 x4
Tm  0.250  0.750  0.382 x2


First-principles (GGA-PBE) data for RbY2S3 after structural relaxation, as listed in Alexandria via LeMat-Bulk.

Properties
Magnetic moment: 0.0 μB per cell
Raw total energy: -36.16 eV/f.u.

Cell lengths 4.441, 15.396, 10.806 Å; angles 90.00, 90.00, 90.00 degrees
Space group Cmcm (No. 63)
Asymmetric unit:
Rb  0.000  0.232  0.250 x4
Y  0.000  0.032  0.750 x4
Y  0.000  0.500  0.000 x4
S  0.000  0.115  0.542 x8
S  0.000  0.444  0.750 x4


First-principles (GGA-PBE) data for ScBi3Pb after structural relaxation, as listed in Alexandria via LeMat-Bulk.

Properties
Magnetic moment: 0.0 μB per cell
Calculated formation energy: 0.83 eV per atom
Excess energy over the best structure of this formula in the dataset: 687 meV per atom

Cell lengths 5.839, 5.839, 5.839 Å; angles 90.00, 90.00, 90.00 degrees
Space group Pm-3m (No. 221)
Asymmetric unit:
Sc  0.000  0.000  0.000 x1
Bi  0.000  0.500  0.500 x3
Pb  0.500  0.500  0.500 x1


First-principles (GGA-PBE) data for RbAsSe2Br after structural relaxation, as listed in Alexandria via LeMat-Bulk.

Properties
Magnetic moment: 1.0 μB per cell
Excess energy over the best structure of this formula in the dataset: 1339 meV per atom

Cell lengths 6.671, 6.671, 6.310 Å; angles 90.00, 90.00, 90.00 degrees
Space group P4/mmm (No. 123)
Asymmetric unit:
Rb  0.000  0.000  0.000 x1
As  0.500  0.500  0.500 x1
Se  0.000  0.500  0.000 x2
Br  0.000  0.000  0.500 x1


First-principles (GGA-PBE) data for CaSnAs after structural relaxation, as listed in Alexandria via LeMat-Bulk.

Properties
Magnetic moment: 0.0 μB per cell
Calculated formation energy: -0.48 eV per atom

Cell lengths 4.8267, 4.8267, 4.0447 Å; angles 90.00, 90.00, 120.00 degrees
Space group P3m1 (No. 156)
Asymmetric unit:
Ca  0.0000  0.0000  0.0000 x1
Sn  0.6667  0.3333  0.5008 x1
As  0.3333  0.6667  0.4994 x1


First-principles (GGA-PBE) data for LiP2Br after structural relaxation, as listed in Alexandria via LeMat-Bulk.

Properties
Magnetic moment: 0.0 μB per cell
Excess energy over the best structure of this formula in the dataset: 1076 meV per atom

Cell lengths 3.1781, 3.1781, 24.4093 Å; angles 90.00, 90.00, 120.00 degrees
Space group R-3m (No. 166, hexagonal axes)
Asymmetric unit:
Li  0.0000  0.0000  0.0000 x3
P  0.0000  0.0000  0.2546 x6
Br  0.0000  0.0000  0.5000 x3


First-principles (GGA-PBE) data for Pr6Nd3Sm2 after structural relaxation, as listed in Alexandria via LeMat-Bulk.

Properties
Magnetic moment: 0.0 μB per cell
Calculated formation energy: 0.01 eV per atom
Excess energy over the best structure of this formula in the dataset: 0 meV per atom

Cell lengths 6.406, 8.235, 8.249 Å; angles 107.44, 97.23, 104.92 degrees
Space group P-1 (No. 2)
Asymmetric unit:
Pr  0.046  0.182  0.408 x2
Pr  0.136  0.545  0.227 x2
Pr  0.319  0.271  0.865 x2
Nd  0.409  0.638  0.683 x2
Nd  0.500  0.000  0.500 x1
Sm  0.228  0.910  0.045 x2


First-principles (GGA-PBE) data for Tb5Te2Au2 after structural relaxation, as listed in Alexandria via LeMat-Bulk.

Properties
Magnetic moment: 0.0 μB per cell
Raw total energy: -44.95 eV/f.u.

Cell lengths 15.490, 8.046, 7.971 Å; angles 90.00, 90.00, 90.00 degrees
Space group Cmce (No. 64)
Asymmetric unit:
Tb  0.000  0.000  0.000 x4
Tb  0.124  0.162  0.341 x16
Te  0.205  0.000  0.000 x8
Au  0.000  0.136  0.633 x8


First-principles (GGA-PBE) data for LiCoCN2 after structural relaxation, as listed in Alexandria via LeMat-Bulk.

Properties
Magnetic moment: 0.0 μB per cell
Raw total energy: -22.59 eV/f.u.

Cell lengths 3.457, 3.457, 3.607 Å; angles 90.00, 90.00, 90.00 degrees
Space group P4/mmm (No. 123)
Asymmetric unit:
Li  0.000  0.000  0.000 x1
Co  0.500  0.500  0.500 x1
C  0.000  0.000  0.500 x1
N  0.000  0.500  0.000 x2


First-principles (GGA-PBE) data for HoErGaPb after structural relaxation, as listed in Alexandria via LeMat-Bulk.

Properties
Magnetic moment: 0.0 μB per cell
Calculated formation energy: -0.41 eV per atom

Cell lengths 7.414, 7.414, 7.414 Å; angles 90.00, 90.00, 90.00 degrees
Space group F-43m (No. 216)
Asymmetric unit:
Ho  0.000  0.000  0.000 x4
Er  0.000  0.000  0.500 x4
Ga  0.250  0.250  0.750 x4
Pb  0.250  0.250  0.250 x4


First-principles (GGA-PBE) data for Gd2CoBr after structural relaxation, as listed in Alexandria via LeMat-Bulk.

Properties
Magnetic moment: 42.3 μB per cell
Excess energy over the best structure of this formula in the dataset: 0 meV per atom

Cell lengths 3.9008, 3.9008, 22.9684 Å; angles 90.00, 90.00, 120.00 degrees
Space group R-3m (No. 166, hexagonal axes)
Asymmetric unit:
Gd  0.0000  0.0000  0.2304 x6
Co  0.0000  0.0000  0.5000 x3
Br  0.0000  0.0000  0.0000 x3


First-principles (GGA-PBE) data for Sr2ZrTl after structural relaxation, as listed in Alexandria via LeMat-Bulk.

Properties
Magnetic moment: 1.6 μB per cell
Calculated formation energy: 0.16 eV per atom
Excess energy over the best structure of this formula in the dataset: 40 meV per atom

Cell lengths 5.246, 3.834, 13.913 Å; angles 90.00, 90.00, 90.00 degrees
Space group Amm2 (No. 38)
Asymmetric unit:
Sr  0.000  0.000  0.000 x2
Sr  0.500  0.000  0.321 x2
Zr  0.000  0.000  0.714 x2
Tl  0.500  0.000  0.606 x2


First-principles (GGA-PBE) data for KB2AuBr8 after structural relaxation, as listed in Alexandria via LeMat-Bulk.

Properties
Magnetic moment: 0.0 μB per cell
Raw total energy: -37.76 eV/f.u.

Cell lengths 6.5014, 6.5014, 29.1069 Å; angles 90.00, 90.00, 120.00 degrees
Space group R-3 (No. 148, hexagonal axes)
Asymmetric unit:
K  0.0000  0.0000  0.0000 x3
B  0.0000  0.0000  0.2497 x6
Au  0.0000  0.0000  0.5000 x3
Br  0.0000  0.0000  0.3194 x6
Br  0.0102  0.7075  0.7726 x18


First-principles (GGA-PBE) data for CePm2PaSb4 after structural relaxation, as listed in Alexandria via LeMat-Bulk.

Properties
Magnetic moment: 1.8 μB per cell
Raw total energy: -49.15 eV/f.u.

Cell lengths 7.726, 4.455, 7.736 Å; angles 90.00, 109.35, 90.00 degrees
Space group P2/m (No. 10)
Asymmetric unit:
Ce  0.000  0.000  0.000 x1
Pm  0.000  0.500  0.500 x1
Pm  0.500  0.000  0.500 x1
Pa  0.500  0.500  0.000 x1
Sb  0.253  0.500  0.246 x2
Sb  0.256  0.000  0.756 x2


First-principles (GGA-PBE) data for LaVN3 after structural relaxation, as listed in Alexandria via LeMat-Bulk.

Properties
Magnetic moment: 2.8 μB per cell
Raw total energy: -40.43 eV/f.u.

Cell lengths 3.443, 3.443, 23.176 Å; angles 90.00, 90.00, 90.00 degrees
Space group I-4m2 (No. 119)
Asymmetric unit:
La  0.000  0.000  0.000 x2
La  0.000  0.500  0.250 x2
V  0.000  0.500  0.632 x4
N  0.000  0.000  0.320 x4
N  0.000  0.315  0.098 x8


First-principles (GGA-PBE) data for NaBPb after structural relaxation, as listed in Alexandria via LeMat-Bulk.

Properties
Magnetic moment: 0.0 μB per cell
Calculated formation energy: 0.72 eV per atom

Cell lengths 4.291, 4.291, 7.011 Å; angles 90.00, 90.00, 90.00 degrees
Space group P4/nmm (No. 129, origin choice 2)
Asymmetric unit:
Na  0.250  0.250  0.183 x2
B  0.250  0.750  0.500 x2
Pb  0.250  0.250  0.704 x2


First-principles (GGA-PBE) data for LaAs3Au after structural relaxation, as listed in Alexandria via LeMat-Bulk.

Properties
Magnetic moment: 0.0 μB per cell
Calculated formation energy: -0.10 eV per atom
Excess energy over the best structure of this formula in the dataset: 0 meV per atom

Cell lengths 5.052, 5.052, 5.052 Å; angles 90.00, 90.00, 90.00 degrees
Space group Pm-3m (No. 221)
Asymmetric unit:
La  0.000  0.000  0.000 x1
As  0.000  0.500  0.500 x3
Au  0.500  0.500  0.500 x1


First-principles (GGA-PBE) data for LaMo2Ir after structural relaxation, as listed in Alexandria via LeMat-Bulk.

Properties
Magnetic moment: 0.0 μB per cell
Calculated formation energy: 0.38 eV per atom
Excess energy over the best structure of this formula in the dataset: 239 meV per atom

Cell lengths 6.582, 6.582, 6.582 Å; angles 90.00, 90.00, 90.00 degrees
Space group Fm-3m (No. 225)
Asymmetric unit:
La  0.000  0.000  0.000 x4
Mo  0.250  0.250  0.250 x8
Ir  0.000  0.000  0.500 x4


First-principles (GGA-PBE) data for CaPmZn after structural relaxation, as listed in Alexandria via LeMat-Bulk.

Properties
Magnetic moment: 0.0 μB per cell
Calculated formation energy: 0.01 eV per atom
Excess energy over the best structure of this formula in the dataset: 179 meV per atom

Cell lengths 5.1308, 5.1308, 3.8378 Å; angles 90.00, 90.00, 120.00 degrees
Space group P3m1 (No. 156)
Asymmetric unit:
Ca  0.0000  0.0000  0.0000 x1
Pm  0.3333  0.6667  0.5335 x1
Zn  0.6667  0.3333  0.2610 x1


First-principles (GGA-PBE) data for Ni2BiBr after structural relaxation, as listed in Alexandria via LeMat-Bulk.

Properties
Magnetic moment: 0.0 μB per cell
Excess energy over the best structure of this formula in the dataset: 0 meV per atom

Cell lengths 6.078, 6.078, 9.764 Å; angles 90.00, 90.00, 90.00 degrees
Space group I-42d (No. 122)
Asymmetric unit:
Ni  0.225  0.250  0.125 x8
Bi  0.000  0.000  0.500 x4
Br  0.000  0.000  0.000 x4


First-principles (GGA-PBE) data for CaMg2Ni after structural relaxation, as listed in Alexandria via LeMat-Bulk.

Properties
Magnetic moment: 0.0 μB per cell
Calculated formation energy: 0.06 eV per atom

Cell lengths 4.349, 4.349, 8.858 Å; angles 90.00, 90.00, 90.00 degrees
Space group I4/mmm (No. 139)
Asymmetric unit:
Ca  0.000  0.000  0.000 x2
Mg  0.000  0.500  0.250 x4
Ni  0.000  0.000  0.500 x2


First-principles (GGA-PBE) data for Li3SnHg4 after structural relaxation, as listed in Alexandria via LeMat-Bulk.

Properties
Magnetic moment: 0.0 μB per cell
Calculated formation energy: -0.27 eV per atom
Excess energy over the best structure of this formula in the dataset: 5 meV per atom

Cell lengths 4.669, 4.666, 7.598 Å; angles 90.00, 90.07, 90.00 degrees
Space group P2/m (No. 10)
Asymmetric unit:
Li  0.000  0.000  0.000 x1
Li  0.000  0.000  0.500 x1
Li  0.500  0.500  0.000 x1
Sn  0.500  0.500  0.500 x1
Hg  0.000  0.500  0.224 x2
Hg  0.499  0.000  0.776 x2


First-principles (GGA-PBE) data for LaMo2Se after structural relaxation, as listed in Alexandria via LeMat-Bulk.

Properties
Magnetic moment: 0.0 μB per cell
Raw total energy: -29.66 eV/f.u.

Cell lengths 4.056, 4.802, 4.398 Å; angles 90.00, 93.81, 90.00 degrees
Space group P2/m (No. 10)
Asymmetric unit:
La  0.000  0.000  0.000 x1
Mo  0.343  0.500  0.743 x2
Se  0.500  0.000  0.500 x1


First-principles (GGA-PBE) data for Ba2MoAu after structural relaxation, as listed in Alexandria via LeMat-Bulk.

Properties
Magnetic moment: 13.7 μB per cell
Calculated formation energy: 0.56 eV per atom
Excess energy over the best structure of this formula in the dataset: 196 meV per atom

Cell lengths 8.108, 8.108, 8.108 Å; angles 90.00, 90.00, 90.00 degrees
Space group Fm-3m (No. 225)
Asymmetric unit:
Ba  0.250  0.250  0.250 x8
Mo  0.000  0.000  0.000 x4
Au  0.000  0.000  0.500 x4